# HoPaTi2O8, relaxed, DFT PBE
# ΔE_f (raw), eV per atom: -3.3503
# DFT total energy, eV per cell: -109.7
# Space group: No. 82
data_HoPaTi2O8
_cell_length_a 5.151
_cell_length_b 5.151
_cell_length_c 6.588
_cell_angle_alpha 113.01
_cell_angle_beta 113.01
_cell_angle_gamma 90.00
_space_group_name_H-M_alt 'P 1'
_space_group_IT_number 1
loop_
_space_group_symop_operation_xyz
'x,y,z'
loop_
_atom_site_label
_atom_site_fract_x
_atom_site_fract_y
_atom_site_fract_z
_atom_site_occupancy
O1 0.343 0.928 0.333 1
O2 0.758 0.845 0.176 1
O3 0.991 0.406 0.333 1
O4 0.418 0.331 0.176 1
O5 0.669 0.242 0.824 1
O6 0.594 0.657 0.667 1
O7 0.155 0.582 0.824 1
O8 0.072 0.009 0.667 1
Ti1 0.250 0.750 0.500 1
Ti2 0.500 0.500 0.000 1
Pa1 0.750 0.250 0.500 1
Ho1 0.000 0.000 0.000 1

=====

# HoPaTiO6, relaxed, DFT PBE
# ΔE_f (raw), eV per atom: -3.3640
# DFT total energy, eV per cell: -164.0
# Space group: No. 163
data_HoPaTiO6
_cell_length_a 5.424
_cell_length_b 5.424
_cell_length_c 9.452
_cell_angle_alpha 90.00
_cell_angle_beta 90.00
_cell_angle_gamma 120.00
_space_group_name_H-M_alt 'P 1'
_space_group_IT_number 1
loop_
_space_group_symop_operation_xyz
'x,y,z'
loop_
_atom_site_label
_atom_site_fract_x
_atom_site_fract_y
_atom_site_fract_z
_atom_site_occupancy
Pa1 0.000 0.000 0.000 1
Pa2 0.000 0.000 0.500 1
O1 0.647 0.963 0.868 1
O2 0.037 0.684 0.868 1
O3 0.353 0.037 0.132 1
O4 0.963 0.316 0.132 1
O5 0.353 0.316 0.368 1
O6 0.963 0.647 0.368 1
O7 0.684 0.037 0.368 1
O8 0.684 0.647 0.132 1
O9 0.316 0.963 0.632 1
O10 0.037 0.353 0.632 1
O11 0.647 0.684 0.632 1
O12 0.316 0.353 0.868 1
Ti1 0.667 0.333 0.250 1
Ti2 0.333 0.667 0.750 1
Ho1 0.333 0.667 0.250 1
Ho2 0.667 0.333 0.750 1

=====

# HoPaTlO6, relaxed, DFT PBE
# ΔE_f (raw), eV per atom: -2.4015
# DFT total energy, eV per cell: -67.8
# Space group: No. 149
data_HoPaTlO6
_cell_length_a 4.860
_cell_length_b 5.679
_cell_length_c 5.679
_cell_angle_alpha 120.00
_cell_angle_beta 90.00
_cell_angle_gamma 90.00
_space_group_name_H-M_alt 'P 1'
_space_group_IT_number 1
loop_
_space_group_symop_operation_xyz
'x,y,z'
loop_
_atom_site_label
_atom_site_fract_x
_atom_site_fract_y
_atom_site_fract_z
_atom_site_occupancy
O1 0.253 0.336 0.350 1
O2 0.253 0.014 0.664 1
O3 0.253 0.650 0.986 1
O4 0.747 0.014 0.350 1
O5 0.747 0.650 0.664 1
O6 0.747 0.336 0.986 1
Pa1 0.000 0.333 0.667 1
Ho1 0.500 0.667 0.333 1
Tl1 0.500 0.000 0.000 1

=====

# HoPaTl2O8, relaxed, DFT PBE
# ΔE_f (raw), eV per atom: -1.7956
# DFT total energy, eV per cell: -80.0
# Space group: No. 119
data_HoPaTl2O8
_cell_length_a 6.235
_cell_length_b 6.235
_cell_length_c 6.235
_cell_angle_alpha 111.52
_cell_angle_beta 111.52
_cell_angle_gamma 105.44
_space_group_name_H-M_alt 'P 1'
_space_group_IT_number 1
loop_
_space_group_symop_operation_xyz
'x,y,z'
loop_
_atom_site_label
_atom_site_fract_x
_atom_site_fract_y
_atom_site_fract_z
_atom_site_occupancy
Pa1 0.000 0.000 0.000 1
O1 0.716 0.027 0.689 1
O2 0.271 0.448 0.178 1
O3 0.907 0.729 0.178 1
O4 0.338 0.027 0.311 1
O5 0.973 0.662 0.689 1
O6 0.271 0.093 0.822 1
O7 0.552 0.729 0.822 1
O8 0.973 0.284 0.311 1
Tl1 0.500 0.500 0.000 1
Tl2 0.750 0.250 0.500 1
Ho1 0.250 0.750 0.500 1

=====

# HoPaTl2O6, relaxed, DFT PBE
# ΔE_f (raw), eV per atom: -2.2915
# DFT total energy, eV per cell: -71.5
# Space group: No. 12
data_HoPaTl2O6
_cell_length_a 6.015
_cell_length_b 6.221
_cell_length_c 6.062
_cell_angle_alpha 120.87
_cell_angle_beta 119.76
_cell_angle_gamma 90.00
_space_group_name_H-M_alt 'P 1'
_space_group_IT_number 1
loop_
_space_group_symop_operation_xyz
'x,y,z'
loop_
_atom_site_label
_atom_site_fract_x
_atom_site_fract_y
_atom_site_fract_z
_atom_site_occupancy
Pa1 0.500 0.000 0.000 1
O1 0.624 0.243 0.486 1
O2 0.815 0.822 0.138 1
O3 0.185 0.684 0.862 1
O4 0.185 0.178 0.862 1
O5 0.376 0.757 0.514 1
O6 0.815 0.316 0.138 1
Ho1 0.000 0.500 0.000 1
Tl1 0.226 0.252 0.504 1
Tl2 0.774 0.748 0.496 1

=====

# HoTmPaO6, relaxed, DFT PBE
# ΔE_f (raw), eV per atom: -3.2577
# DFT total energy, eV per cell: -77.6
# Space group: No. 149
data_HoTmPaO6
_cell_length_a 4.674
_cell_length_b 5.726
_cell_length_c 5.726
_cell_angle_alpha 120.00
_cell_angle_beta 90.00
_cell_angle_gamma 90.00
_space_group_name_H-M_alt 'P 1'
_space_group_IT_number 1
loop_
_space_group_symop_operation_xyz
'x,y,z'
loop_
_atom_site_label
_atom_site_fract_x
_atom_site_fract_y
_atom_site_fract_z
_atom_site_occupancy
O1 0.256 0.330 0.343 1
O2 0.744 0.657 0.670 1
O3 0.744 0.330 0.987 1
O4 0.256 0.657 0.987 1
O5 0.744 0.013 0.343 1
O6 0.256 0.013 0.670 1
Pa1 0.000 0.333 0.667 1
Ho1 0.500 0.667 0.333 1
Tm1 0.500 0.000 0.000 1

=====

Size of the total moment per entry: 0.00 0.00 0.67 1.06 0.00 0.06 μB per cell